(1)
A relaxed structure of K2CeHfS4. Source: Alexandria, functional PBE.

a = 6.8764 Å, b = 3.9315 Å, c = 7.7472 Å
α = 90.00°, β = 106.75°, γ = 90.00°
Positions (direct):
K 0.0000 0.0000 0.0000
K 0.5000 0.5000 0.0000
Ce 0.0000 0.5000 0.5000
Hf 0.5000 0.0000 0.5000
S 0.2594 0.0000 0.7064
S 0.2885 0.5000 0.3035
S 0.7115 0.5000 0.6965
S 0.7406 0.0000 0.2936

Computed properties:
Its total energy is -5.92 eV per atom. The calculation puts the formation energy (no corrections) at -1232 kJ/mol of formula units. The value obtained for the density of states at the Fermi level is 8.2 states/eV per cell.

(2)
A relaxed structure of HfSiPd2O. Source: Alexandria, functional PBE.

a = 4.8364 Å, b = 4.8364 Å, c = 3.3827 Å
α = 90.00°, β = 90.00°, γ = 90.00°
Positions (direct):
Hf 0.0000 0.0000 0.0000
Si 0.5000 0.5000 0.5000
Pd 0.0000 0.5000 0.5000
Pd 0.5000 0.0000 0.5000
O 0.5000 0.5000 0.0000

Computed properties:
Its total energy is -6.69 eV per atom. The calculation puts the formation energy (no corrections) at -263 kJ/mol of formula units. The value obtained for the density of states at the Fermi level is 2.9 states/eV per cell.

(3)
A relaxed structure of Au4I5. Source: Alexandria, functional PBE.

a = 9.0821 Å, b = 9.0821 Å, c = 9.0821 Å
α = 93.94°, β = 93.94°, γ = 149.61°
Positions (direct):
Au 0.0622 0.2190 0.2813
Au 0.2190 0.9378 0.1568
Au 0.7810 0.0622 0.8432
Au 0.9378 0.7810 0.7187
I 0.0000 0.0000 0.0000
I 0.1928 0.5945 0.7873
I 0.4055 0.1928 0.5982
I 0.5945 0.8072 0.4018
I 0.8072 0.4055 0.2127

Computed properties:
Its total energy is -2.26 eV per atom. The calculation puts the formation energy (no corrections) at 52 kJ/mol of formula units. The value obtained for the density of states at the Fermi level is 4.7 states/eV per cell.

Q: Which of these has the lowest total energy?
A: HfSiPd2O

Q: What is the formula in the third record?
A: Au4I5

Q: The highest formation energy (no corrections) belongs to which entry?
A: Au4I5

Q: Among the records above, which one has the lowest total energy?
A: HfSiPd2O